Entry 1:
# PrCd2In

A relaxed structure of PrCd2In (PBE, the Alexandria database).

Cell and atoms, written as extended XYZ:
```
8
Lattice="6.009 0.000 0.000 0.000 10.746 0.000 0.000 0.000 3.323" Properties=species:S:1:pos:R:3 pbc="T T T"
Pr 0.000 0.000 0.000
Pr 3.004 5.373 0.000
Cd 1.502 2.686 1.661
Cd 1.502 8.059 1.661
Cd 4.506 2.686 1.661
Cd 4.506 8.059 1.661
In 0.000 5.373 1.661
In 3.004 0.000 1.661
```

The formation energy comes out at -233.5 meV per atom. The value obtained for the excess energy over the best structure of this formula in the dataset is 112 meV/atom. As for the crystal system: orthorhombic.



Entry 2:
# Pr12CdIn3

A relaxed structure of Pr12CdIn3 (PBE, the Alexandria database).

Cell and atoms, written as extended XYZ:
```
16
Lattice="5.028 0.000 0.000 0.000 5.028 0.000 0.000 0.000 20.052" Properties=species:S:1:pos:R:3 pbc="T T T"
Pr 0.000 0.000 0.000
Pr 0.000 0.000 4.983
Pr 0.000 0.000 10.026
Pr 0.000 0.000 15.069
Pr 0.000 2.514 2.506
Pr 0.000 2.514 7.509
Pr 0.000 2.514 12.543
Pr 0.000 2.514 17.546
Pr 2.514 0.000 2.506
Pr 2.514 0.000 7.509
Pr 2.514 0.000 12.543
Pr 2.514 0.000 17.546
Cd 2.514 2.514 0.000
In 2.514 2.514 4.999
In 2.514 2.514 10.026
In 2.514 2.514 15.053
```

The formation energy comes out at -240.0 meV per atom. As for the crystal system: tetragonal.



Entry 3:
# Pr8Cd2In

A relaxed structure of Pr8Cd2In (PBE, the Alexandria database).

Cell and atoms, written as extended XYZ:
```
11
Lattice="8.479 -2.778 0.000 8.479 2.778 0.000 -4.571 0.000 7.636" Properties=species:S:1:pos:R:3 pbc="T T T"
Pr 0.172 0.000 1.692
Pr -0.818 0.000 5.265
Pr 2.897 0.000 4.191
Pr 6.678 0.000 0.398
Pr 5.710 0.000 7.238
Pr 9.491 0.000 3.444
Pr 13.205 0.000 2.370
Pr 12.215 0.000 5.943
Cd 3.326 0.000 0.890
Cd 9.061 0.000 6.746
In 6.194 0.000 3.818
```

The formation energy comes out at -193.2 meV per atom. As for the crystal system: monoclinic.



Entry 4:
# Pr6CdIn2

A relaxed structure of Pr6CdIn2 (PBE, the Alexandria database).

Cell and atoms, written as extended XYZ:
```
9
Lattice="9.613 0.000 0.000 -4.806 8.325 0.000 0.000 0.000 3.342" Properties=species:S:1:pos:R:3 pbc="T T T"
Pr -1.608 2.785 0.000
Pr -3.198 5.540 0.000
Pr 3.216 0.000 0.000
Pr 1.608 2.785 0.000
Pr 6.397 0.000 0.000
Pr 3.198 5.540 0.000
Cd 0.000 0.000 1.671
In 0.000 5.550 1.671
In 4.806 2.775 1.671
```

The formation energy comes out at -94.7 meV per atom. As for the crystal system: hexagonal.



no.,E_tot (eV per atom)
1,-2.57
2,-4.40
3,-4.08
4,-3.99